Record 1
# ScSi2Pd4 (PBE, relaxed)
data_ScSi2Pd4
_space_group_name_H-M_alt 'P 1'
_space_group_IT_number 1
_cell_length_a 4.082
_cell_length_b 6.456
_cell_length_c 16.702
_cell_angle_alpha 90.00
_cell_angle_beta 90.00
_cell_angle_gamma 90.00
loop_
_space_group_symop_operation_xyz
'x,y,z'
loop_
_atom_site_label
_atom_site_type_symbol
_atom_site_fract_x
_atom_site_fract_y
_atom_site_fract_z
Sc1 Sc 0.750 0.957 0.642
Sc2 Sc 0.250 0.043 0.358
Sc3 Sc 0.250 0.457 0.858
Sc4 Sc 0.750 0.543 0.142
Si1 Si 0.250 0.748 0.542
Si2 Si 0.750 0.252 0.458
Si3 Si 0.750 0.248 0.958
Si4 Si 0.250 0.752 0.042
Si5 Si 0.250 0.928 0.785
Si6 Si 0.750 0.072 0.215
Si7 Si 0.750 0.428 0.715
Si8 Si 0.250 0.572 0.285
Pd1 Pd 0.250 0.223 0.700
Pd2 Pd 0.750 0.777 0.300
Pd3 Pd 0.750 0.723 0.800
Pd4 Pd 0.250 0.277 0.200
Pd5 Pd 0.250 0.653 0.684
Pd6 Pd 0.750 0.347 0.316
Pd7 Pd 0.750 0.153 0.816
Pd8 Pd 0.250 0.847 0.184
Pd9 Pd 0.250 0.139 0.529
Pd10 Pd 0.750 0.861 0.471
Pd11 Pd 0.750 0.639 0.971
Pd12 Pd 0.250 0.361 0.029
Pd13 Pd 0.250 0.509 0.429
Pd14 Pd 0.750 0.491 0.571
Pd15 Pd 0.750 0.009 0.071
Pd16 Pd 0.250 0.991 0.929
# SG: Pnma (62)



Record 2
# Sc2SiPd4 (PBE, relaxed)
data_Sc2SiPd4
_space_group_name_H-M_alt 'P 1'
_space_group_IT_number 1
_cell_length_a 4.498
_cell_length_b 4.498
_cell_length_c 7.523
_cell_angle_alpha 72.61
_cell_angle_beta 72.61
_cell_angle_gamma 90.00
loop_
_space_group_symop_operation_xyz
'x,y,z'
loop_
_atom_site_label
_atom_site_type_symbol
_atom_site_fract_x
_atom_site_fract_y
_atom_site_fract_z
Sc1 Sc 0.361 0.361 0.278
Sc2 Sc 0.639 0.639 0.722
Si1 Si 0.000 0.000 0.000
Pd1 Pd 0.175 0.175 0.650
Pd2 Pd 0.825 0.825 0.350
Pd3 Pd 0.000 0.500 0.000
Pd4 Pd 0.500 0.000 0.000
# SG: I4/mmm (139)



no.,raw formation energy (eV per atom)
1,-0.7735
2,-0.3732